Density functional theory data (SCAN) for a crystal of KNa3Cr relaxed with PBEsol. Values from VASP.

Structure (Quantum ESPRESSO input):
```
&SYSTEM
  ibrav = 0, nat = 5, ntyp = 3
/
ATOMIC_SPECIES
Cr 52.00 Cr.upf
K 39.10 K.upf
Na 22.99 Na.upf
CELL_PARAMETERS angstrom
-1.6124 3.7119 -4.4729
3.6919 -2.9312 -3.7633
-4.4894 -3.7436 -1.4883
ATOMIC_POSITIONS angstrom
Cr -1.2050 -1.4814 -4.8623
K 0.0000 0.0000 0.0000
Na 1.8459 -1.4656 -1.8817
Na -2.2447 -1.8718 -0.7442
Na -0.8062 1.8559 -2.2364
```

Volume: 219.5 Å³/cell
E_form: 0.886 eV per atom

Density functional theory data (SCAN) for a crystal of NaHfAg3 relaxed with PBEsol. Values from VASP.

Structure (Quantum ESPRESSO input):
```
&SYSTEM
  ibrav = 0, nat = 5, ntyp = 3
/
ATOMIC_SPECIES
Na 22.99 Na.upf
Hf 178.49 Hf.upf
Ag 107.87 Ag.upf
CELL_PARAMETERS angstrom
4.6667 0.0000 0.0000
0.0000 4.6667 0.0000
0.0000 0.0000 4.6667
ATOMIC_POSITIONS angstrom
Na 0.0000 0.0000 0.0000
Hf 2.3334 2.3334 2.3334
Ag 0.0000 2.3334 0.0000
Ag 0.0000 0.0000 2.3334
Ag 2.3334 0.0000 0.0000
```

Volume: 101.6 Å³/cell
E_form: 1.001 eV per atom

Question: Among the records above, which one has the highest volume?
Answer: KNa3Cr